A relaxed Fe2BC crystal, computed with GGA-PBE.

a = 5.290 Å, b = 5.290 Å, c = 5.290 Å
α = 131.29°, β = 131.29°, γ = 71.36°
Atoms (fractional coordinates):
1 Fe 0.105 0.625 0.980
2 Fe 0.375 0.355 0.480
3 Fe 0.645 0.125 0.020
4 Fe 0.875 0.895 0.520
5 B 0.250 0.750 0.500
6 B 0.500 0.500 0.000
7 C 0.000 0.000 0.000
8 C 0.750 0.250 0.500

Calculated values
final energy: -60.71 eV for the cell shown
formation enthalpy at 0 K: 0.62 eV/atom
Fermi-level density of states: 12.57 states/eV per cell
volume: 81.8 Å³ per cell

***

A relaxed V8Fe2Sn crystal, computed with GGA-PBE.

a = 6.153 Å, b = 6.153 Å, c = 5.495 Å
α = 101.08°, β = 101.08°, γ = 49.27°
Atoms (fractional coordinates):
1 V 0.097 0.097 0.410
2 V 0.114 0.676 0.081
3 V 0.286 0.286 0.714
4 V 0.324 0.886 0.919
5 V 0.676 0.114 0.081
6 V 0.714 0.714 0.286
7 V 0.886 0.324 0.919
8 V 0.903 0.903 0.590
9 Fe 0.270 0.270 0.259
10 Fe 0.730 0.730 0.741
11 Sn 0.500 0.500 0.500

Calculated values
final energy: -91.80 eV for the cell shown
formation enthalpy at 0 K: 0.19 eV/atom
Fermi-level density of states: 12.73 states/eV per cell
volume: 154.1 Å³ per cell